Entry 1:
# CsCaAs2S

Crystalline CsCaAs2S at its relaxed geometry (PBE, Alexandria).

Crystal system: tetragonal
Formation energy without anion corrections (eV per atom): 0.853

Cell: 5.7590 5.7590 5.3243 Å, 90.00 90.00 90.00°
Space group P4/mmm (No. 123)
Symmetry-distinct sites (fractional):
Cs (0.0000, 0.0000, 0.0000) x1
Ca (0.5000, 0.5000, 0.5000) x1
As (0.0000, 0.5000, 0.0000) x2
S (0.0000, 0.0000, 0.5000) x1

Entry 2:
# CsCaSc2As

Crystalline CsCaSc2As at its relaxed geometry (PBE, Alexandria).

Crystal system: tetragonal
Energy relative to the elements (eV/atom): 1.169

Cell: 5.2878 5.2878 6.0435 Å, 90.00 90.00 90.00°
Space group P4/mmm (No. 123)
Symmetry-distinct sites (fractional):
Cs (0.0000, 0.0000, 0.0000) x1
Ca (0.5000, 0.5000, 0.5000) x1
Sc (0.0000, 0.5000, 0.0000) x2
As (0.0000, 0.0000, 0.5000) x1

Entry 3:
# CsCaAsSe2

Crystalline CsCaAsSe2 at its relaxed geometry (PBE, Alexandria).

Crystal system: tetragonal
E above lowest polymorph (eV/atom): 0.947
Formation energy without anion corrections (eV per atom): 0.548

Cell: 5.7222 5.7222 5.7457 Å, 90.00 90.00 90.00°
Space group P4/mmm (No. 123)
Symmetry-distinct sites (fractional):
Cs (0.0000, 0.0000, 0.0000) x1
Ca (0.5000, 0.5000, 0.5000) x1
As (0.0000, 0.0000, 0.5000) x1
Se (0.0000, 0.5000, 0.0000) x2